NaCa3C | GGA-PBE | optimized geometry

a = 5.2364 Å, b = 5.2364 Å, c = 5.2364 Å
α = 90.00°, β = 90.00°, γ = 90.00°
With the nearest neighbours (Å) after each atom.
Fractional coordinates of all 5 atoms:
1 Na 0.0000 0.0000 0.0000  12 Ca 3.70
2 Ca 0.0000 0.5000 0.5000  2 C 2.62
3 Ca 0.5000 0.0000 0.5000  2 C 2.62
4 Ca 0.5000 0.5000 0.0000  2 C 2.62
5 C 0.5000 0.5000 0.5000  6 Ca 2.62

Formation energy from the elements = 0.190 eV per atom
Volume = 28.72 A^3/atom
Total moment = 0.0 Bohr magnetons per cell
Space-group type = Pm-3m (221)
Polymorph energy (0 for the lowest one) = 0.000 eV per atom